# 1
The following is a PBE-GGA calculation of MnAlAu2 after structural relaxation, from Alexandria via LeMat-Bulk.

```
MnAlAu2
1.0
-2.182 1.987 -2.604
-3.195 -0.605 2.217
-0.994 8.573 4.400
Mn Au Al
2 4 2
direct
0.000 0.000 0.000 Mn
0.750 0.250 0.500 Mn
0.623 0.125 0.250 Au
0.127 0.625 0.250 Au
0.375 0.377 0.750 Au
0.875 0.873 0.750 Au
0.500 0.500 0.000 Al
0.250 0.750 0.500 Al
```

Values from the calculation:
Uncorrected energy in eV per cell: -38.2


# 2
The following is a PBE-GGA calculation of MnAlAu2 after structural relaxation, from Alexandria via LeMat-Bulk.

```
MnAlAu2
1.0
-3.866 -1.758 1.563
-1.117 -4.267 -1.012
0.100 -3.187 3.213
Mn Al Au
1 1 2
direct
0.750 0.750 0.750 Mn
0.500 0.500 0.500 Al
0.000 0.000 0.000 Au
0.250 0.250 0.250 Au
```

Values from the calculation:
Uncorrected energy in eV per cell: -19.9


# 3
The following is a PBE-GGA calculation of Na2MnAl3Au12 after structural relaxation, from Alexandria via LeMat-Bulk.

```
Na2MnAl3Au12
1.0
8.026 -0.264 -0.187
3.734 7.109 -0.187
3.734 2.174 6.771
Na Mn Al Au
2 1 3 12
direct
0.606 0.606 0.606 Na
0.394 0.394 0.394 Na
0.000 0.000 0.000 Mn
0.500 0.000 0.000 Al
0.000 0.500 0.000 Al
0.000 0.000 0.500 Al
0.364 0.364 0.892 Au
0.863 0.863 0.380 Au
0.380 0.863 0.863 Au
0.892 0.364 0.364 Au
0.863 0.380 0.863 Au
0.364 0.892 0.364 Au
0.636 0.636 0.108 Au
0.137 0.137 0.620 Au
0.620 0.137 0.137 Au
0.108 0.636 0.636 Au
0.137 0.620 0.137 Au
0.636 0.108 0.636 Au
```

Values from the calculation:
Uncorrected energy in eV per cell: -63.0


# 4
The following is a PBE-GGA calculation of Nd2MnAl4Au3 after structural relaxation, from Alexandria via LeMat-Bulk.

```
Nd2MnAl4Au3
1.0
4.328 0.000 0.000
0.000 4.328 0.000
0.000 0.000 10.831
Nd Mn Al Au
2 1 4 3
direct
0.500 0.000 0.254 Nd
0.000 0.500 0.746 Nd
0.500 0.500 0.500 Mn
0.500 0.500 0.000 Al
0.000 0.000 0.000 Al
0.500 0.000 0.633 Al
0.000 0.500 0.367 Al
0.000 0.000 0.500 Au
0.500 0.000 0.867 Au
0.000 0.500 0.133 Au
```

Values from the calculation:
Uncorrected energy in eV per cell: -49.5


# 5
The following is a PBE-GGA calculation of MnAl2PAu after structural relaxation, from Alexandria via LeMat-Bulk.

```
MnAl2PAu
1.0
4.613 0.000 0.000
0.000 4.856 0.000
0.000 0.000 4.613
P Mn Au Al
1 1 1 2
direct
0.500 0.500 0.500 P
0.000 0.000 0.000 Mn
0.000 0.500 0.000 Au
0.000 0.000 0.500 Al
0.500 0.000 0.000 Al
```

Values from the calculation:
Energy above the most stable polymorph in this dataset in meV/atom: 710
Uncorrected energy in eV per cell: -21.3


# 6
The following is a PBE-GGA calculation of MnAl2PAu after structural relaxation, from Alexandria via LeMat-Bulk.

```
MnAl2PAu
1.0
4.646 0.000 0.000
0.000 4.137 0.000
0.000 0.000 4.646
P Mn Au Al
1 1 1 2
direct
0.000 0.500 0.000 P
0.000 0.000 0.000 Mn
0.500 0.500 0.500 Au
0.000 0.000 0.500 Al
0.500 0.000 0.000 Al
```

Values from the calculation:
Energy above the most stable polymorph in this dataset in meV/atom: 0
Uncorrected energy in eV per cell: -24.8


# 7
The following is a PBE-GGA calculation of MnAlPd2Au after structural relaxation, from Alexandria via LeMat-Bulk.

```
MnAlPd2Au
1.0
-4.908 0.755 0.766
-0.891 -1.220 -4.508
-0.519 -4.797 1.401
Mn Au Al Pd
1 1 1 2
direct
0.000 0.500 0.000 Mn
0.000 0.000 0.000 Au
0.500 0.500 0.500 Al
0.000 0.000 0.500 Pd
0.500 0.000 0.000 Pd
```

Values from the calculation:
Uncorrected energy in eV per cell: -22.1


# 8
The following is a PBE-GGA calculation of MnAlPtAu after structural relaxation, from Alexandria via LeMat-Bulk.

```
MnAlPtAu
1.0
4.453 0.000 0.000
2.226 3.856 0.000
2.226 1.285 3.636
Mn Au Al Pt
1 1 1 1
direct
0.500 0.500 0.500 Mn
0.250 0.250 0.250 Au
0.000 0.000 0.000 Al
0.750 0.750 0.750 Pt
```

Values from the calculation:
Uncorrected energy in eV per cell: -24.1


Number 1: magnetic moment 3.48 μB/f.u.. Number 2: magnetic moment 3.71 μB/f.u.. Number 3: magnetic moment 4.61 μB/f.u.. Number 4: magnetic moment 3.09 μB/f.u.. Number 5: magnetic moment 3.08 μB/f.u.. Number 6: magnetic moment 0.00 μB/f.u.. Number 7: magnetic moment 4.71 μB/f.u.. Number 8: magnetic moment 4.23 μB/f.u..